--- w ---
# LaNd2Dy5

Crystalline LaNd2Dy5 at its relaxed geometry (PBE, Alexandria).

Computed properties:
SG: Pbam
Fermi-level density of states: 23.20 states/eV/cell
Density: 7.769 Mg/m³

Cell lengths 7.2015, 14.4195, 5.1042 Å; angles 90.00, 90.00, 90.00 degrees
Fractional coordinates of all 16 atoms:
La1 0.0000 0.0000 0.0000
La2 0.5000 0.5000 0.0000
Nd1 0.2471 0.3737 0.5000
Nd2 0.2529 0.8737 0.5000
Nd3 0.7471 0.1263 0.5000
Nd4 0.7529 0.6263 0.5000
Dy1 0.0000 0.5000 0.0000
Dy2 0.0028 0.7479 0.0000
Dy3 0.2484 0.1261 0.5000
Dy4 0.2516 0.6261 0.5000
Dy5 0.4972 0.2479 0.0000
Dy6 0.5000 0.0000 0.0000
Dy7 0.5028 0.7521 0.0000
Dy8 0.7484 0.3739 0.5000
Dy9 0.7516 0.8739 0.5000
Dy10 0.9972 0.2521 0.0000

--- x ---
# LaNd2Dy5

Crystalline LaNd2Dy5 at its relaxed geometry (PBE, Alexandria).

Computed properties:
SG: Immm
Fermi-level density of states: 21.30 states/eV/cell
Density: 7.715 Mg/m³

Cell lengths 3.5830, 11.2535, 13.2368 Å; angles 90.00, 90.00, 90.00 degrees
Fractional coordinates of all 16 atoms:
La1 0.0000 0.0000 0.0000
La2 0.5000 0.5000 0.5000
Nd1 0.0000 0.5000 0.2571
Nd2 0.0000 0.5000 0.7429
Nd3 0.5000 0.0000 0.2429
Nd4 0.5000 0.0000 0.7571
Dy1 0.0000 0.2295 0.3679
Dy2 0.0000 0.2295 0.6321
Dy3 0.0000 0.5000 0.0000
Dy4 0.0000 0.7705 0.3679
Dy5 0.0000 0.7705 0.6321
Dy6 0.5000 0.0000 0.5000
Dy7 0.5000 0.2705 0.1321
Dy8 0.5000 0.2705 0.8679
Dy9 0.5000 0.7295 0.1321
Dy10 0.5000 0.7295 0.8679

Most stable of them? w.

--- w ---
# La7NdDy4

Crystalline La7NdDy4 at its relaxed geometry (PBE, Alexandria).

Computed properties:
SG: P-1
Fermi-level density of states: 19.89 states/eV/cell
Density: 6.960 Mg/m³

Cell lengths 6.4419, 7.3803, 9.1164 Å; angles 90.01, 103.47, 90.03 degrees
Fractional coordinates of all 12 atoms:
La1 0.0000 0.0000 0.0000
La2 0.2210 0.4999 0.6665
La3 0.2819 0.7506 0.3368
La4 0.4977 0.7549 0.9970
La5 0.5023 0.2451 0.0030
La6 0.7181 0.2494 0.6632
La7 0.7790 0.5001 0.3335
Nd1 0.0000 0.5000 0.0000
Dy1 0.2180 0.0000 0.6645
Dy2 0.2773 0.2445 0.3322
Dy3 0.7227 0.7555 0.6678
Dy4 0.7820 0.0000 0.3355

--- x ---
# La7NdDy4

Crystalline La7NdDy4 at its relaxed geometry (PBE, Alexandria).

Computed properties:
SG: C2/m
Fermi-level density of states: 20.59 states/eV/cell
Density: 6.844 Mg/m³

Cell lengths 8.7589, 8.7589, 9.7084 Å; angles 116.49, 116.49, 40.87 degrees
Fractional coordinates of all 12 atoms:
La1 0.0000 0.0000 0.0000
La2 0.2784 0.2784 0.7504
La3 0.2870 0.2870 0.1097
La4 0.4111 0.4111 0.5423
La5 0.5889 0.5889 0.4577
La6 0.7130 0.7130 0.8903
La7 0.7216 0.7216 0.2496
Nd1 0.5000 0.5000 0.0000
Dy1 0.0659 0.0659 0.7018
Dy2 0.1675 0.1675 0.3667
Dy3 0.8325 0.8325 0.6333
Dy4 0.9341 0.9341 0.2982

Most stable of them? w.